The following is a DFT calculation (GGA-PBE) of a relaxed structure of Ba2PdF.

a b c (Å): 8.1762 8.1762 8.1762
angles (deg): 132.22 132.22 69.88
Closest atoms and distances in Å follow each position.
Fractional coordinates of all 8 atoms:
Ba 0.0796 0.6250 0.9546  2 F 2.72
Ba 0.3750 0.3296 0.4546  2 F 2.72
Ba 0.6704 0.1250 0.0454  2 F 2.72
Ba 0.8750 0.9204 0.5454  2 F 2.72
Pd 0.2500 0.7500 0.5000  4 Ba 3.06
Pd 0.5000 0.5000 0.0000  4 Ba 3.06
F 0.0000 0.0000 0.0000  4 Ba 2.72
F 0.7500 0.2500 0.5000  4 Ba 2.72

Values from the calculation:
Polymorph energy (0 for the lowest one) (meV per atom): 53.5
Formation energy without anion corrections (eV/atom): -1.507
E (eV/atom): -4.234



The following is a DFT calculation (GGA-PBE) of a relaxed structure of CrCoCu3.

a b c (Å): 4.3662 4.3662 4.3662
angles (deg): 90.00 90.00 90.00
Closest atoms and distances in Å follow each position.
Fractional coordinates of all 5 atoms:
Cr 0.0000 0.0000 0.0000  12 Cu 3.09
Co 0.5000 0.5000 0.5000  6 Cu 2.18
Cu 0.0000 0.5000 0.5000  2 Co 2.18
Cu 0.5000 0.0000 0.5000  2 Co 2.18
Cu 0.5000 0.5000 0.0000  2 Co 2.18

Values from the calculation:
Polymorph energy (0 for the lowest one) (meV per atom): 0.0
Energy of formation from the pure elements (eV/atom): 1.060
E (eV/atom): -4.743



The following is a DFT calculation (GGA-PBE) of a relaxed structure of SrZrAu.

a b c (Å): 4.9345 4.9345 4.9345
angles (deg): 60.00 60.00 60.00
Closest atoms and distances in Å follow each position.
Fractional coordinates of all 3 atoms:
Sr 0.0000 0.0000 0.0000  4 Zr 3.02, 4 Au 3.02
Zr 0.2500 0.2500 0.2500  4 Sr 3.02
Au 0.7500 0.7500 0.7500  4 Sr 3.02

Values from the calculation:
Polymorph energy (0 for the lowest one) (meV per atom): 1091.1
Energy of formation from the pure elements (eV/atom): 0.900
E (eV/atom): -3.603



The following is a DFT calculation (GGA-PBE) of a relaxed structure of Tb2Y2Al3.

a b c (Å): 6.2249 6.2249 8.7605
angles (deg): 113.32 113.32 35.80
Closest atoms and distances in Å follow each position.
Fractional coordinates of all 7 atoms:
Tb 0.1413 0.1413 0.3252  6 Al 3.15-3.43
Tb 0.8587 0.8587 0.6748  6 Al 3.15-3.43
Y 0.3798 0.3798 0.0488  3 Al 3.09-3.12, 3 Y 3.30-3.41
Y 0.6202 0.6202 0.9512  3 Al 3.09-3.12, 3 Y 3.30-3.41
Al 0.1548 0.1548 0.6972  2 Al 2.72
Al 0.5000 0.5000 0.5000  4 Al 2.72
Al 0.8452 0.8452 0.3028  2 Al 2.72

Values from the calculation:
Polymorph energy (0 for the lowest one) (meV per atom): 18.8
Energy of formation from the pure elements (eV/atom): -0.274
E (eV/atom): -5.048



The following is a DFT calculation (GGA-PBE) of a relaxed structure of Tb4NdSm2Tm.

a b c (Å): 9.5280 9.5280 6.8316
angles (deg): 111.00 111.00 88.40
Closest atoms and distances in Å follow each position.
Fractional coordinates of all 16 atoms:
Tb 0.2453 0.7546 0.5005  1 Tm 3.26, 3 Sm 3.38-3.41, 2 Tb 3.41-3.42, 2 Nd 3.42
Tb 0.2454 0.7547 0.9995  1 Tm 3.26, 3 Sm 3.38-3.41, 2 Tb 3.41-3.42, 2 Nd 3.42
Tb 0.2457 0.2463 0.4943  3 Sm 3.32-3.46, 1 Nd 3.33, 2 Tm 3.37-3.38, 2 Tb 3.42
Tb 0.2463 0.2457 0.9943  3 Sm 3.32-3.46, 1 Nd 3.33, 2 Tm 3.37-3.38, 2 Tb 3.42
Tb 0.7537 0.7543 0.0057  3 Sm 3.32-3.46, 1 Nd 3.33, 2 Tm 3.37-3.38, 2 Tb 3.42
Tb 0.7543 0.7537 0.5057  3 Sm 3.32-3.46, 1 Nd 3.33, 2 Tm 3.37-3.38, 2 Tb 3.42
Tb 0.7546 0.2453 0.0005  1 Tm 3.26, 3 Sm 3.38-3.41, 2 Tb 3.41-3.42, 2 Nd 3.42
Tb 0.7547 0.2454 0.4995  1 Tm 3.26, 3 Sm 3.38-3.41, 2 Tb 3.41-3.42, 2 Nd 3.42
Nd 0.0000 0.5000 0.0000  6 Tb 3.33-3.42, 2 Sm 3.42
Nd 0.5000 0.0000 0.5000  6 Tb 3.33-3.42, 2 Sm 3.42
Sm 0.0000 0.5000 0.5000  6 Tb 3.32-3.41, 2 Nd 3.42
Sm 0.5000 0.0000 0.0000  6 Tb 3.32-3.41, 2 Nd 3.42
Sm 0.5000 0.5000 0.0000  6 Tb 3.38-3.46, 2 Sm 3.42
Sm 0.5000 0.5000 0.5000  6 Tb 3.38-3.46, 2 Sm 3.42
Tm 0.0000 0.0000 0.0000  6 Tb 3.26-3.38, 2 Tm 3.42
Tm 0.0000 0.0000 0.5000  6 Tb 3.26-3.38, 2 Tm 3.42

Values from the calculation:
Energy of formation from the pure elements (eV/atom): 0.417
E (eV/atom): -4.233



The following is a DFT calculation (GGA-PBE) of a relaxed structure of K2ZrCl.

a b c (Å): 3.5833 3.5833 11.3352
angles (deg): 90.00 90.00 90.00
Closest atoms and distances in Å follow each position.
Fractional coordinates of all 4 atoms:
K 0.0000 0.0000 0.0000  4 Cl 2.99
K 0.5000 0.5000 0.4005  1 Cl 2.95
Zr 0.0000 0.0000 0.6641  4 Zr 3.58, 5 K 3.81-3.92
Cl 0.5000 0.5000 0.1399  5 K 2.95-2.99

Values from the calculation:
Polymorph energy (0 for the lowest one) (meV per atom): 132.3
Formation energy without anion corrections (eV/atom): -0.149
E (eV/atom): -3.297



The following is a DFT calculation (GGA-PBE) of a relaxed structure of CuGeN2.

a b c (Å): 5.3928 6.4450 5.2540
angles (deg): 90.00 90.00 90.00
Closest atoms and distances in Å follow each position.
Fractional coordinates of all 16 atoms:
Cu 0.0852 0.1266 0.0000  4 N 2.02-2.03
Cu 0.4148 0.6266 0.5000  4 N 2.02-2.03
Cu 0.5852 0.3734 0.0000  4 N 2.02-2.03
Cu 0.9148 0.8734 0.5000  4 N 2.02-2.03
Ge 0.0822 0.6242 0.9964  4 N 1.88-1.89
Ge 0.4178 0.1242 0.4964  4 N 1.88-1.89
Ge 0.5822 0.8758 0.9964  4 N 1.88-1.89
Ge 0.9178 0.3758 0.4964  4 N 1.88-1.89
N 0.0685 0.6112 0.3547  2 Ge 1.88-1.89, 2 Cu 2.02-2.03
N 0.0860 0.1358 0.3851  2 Ge 1.88-1.89, 2 Cu 2.02
N 0.4140 0.6358 0.8851  2 Ge 1.88-1.89, 2 Cu 2.02
N 0.4315 0.1112 0.8547  2 Ge 1.88-1.89, 2 Cu 2.02-2.03
N 0.5685 0.8888 0.3547  2 Ge 1.88-1.89, 2 Cu 2.02-2.03
N 0.5860 0.3642 0.3851  2 Ge 1.88-1.89, 2 Cu 2.02
N 0.9140 0.8642 0.8851  2 Ge 1.88-1.89, 2 Cu 2.02
N 0.9315 0.3888 0.8547  2 Ge 1.88-1.89, 2 Cu 2.02-2.03

Values from the calculation:
Formation energy without anion corrections (eV/atom): 0.272
E (eV/atom): -6.070



The following is a DFT calculation (GGA-PBE) of a relaxed structure of BaVCuRe2.

a b c (Å): 4.9793 4.9793 4.7422
angles (deg): 90.00 90.00 90.00
Closest atoms and distances in Å follow each position.
Fractional coordinates of all 5 atoms:
Ba 0.0000 0.0000 0.0000  2 V 2.37, 4 Re 2.49
V 0.0000 0.0000 0.5000  2 Ba 2.37
Cu 0.5000 0.5000 0.5000  8 Re 3.44, 4 V 3.52
Re 0.0000 0.5000 0.0000  2 Ba 2.49
Re 0.5000 0.0000 0.0000  2 Ba 2.49

Values from the calculation:
Energy of formation from the pure elements (eV/atom): 3.535
E (eV/atom): -4.472



The following is a DFT calculation (GGA-PBE) of a relaxed structure of Ba2SrZnIr.

a b c (Å): 6.0816 6.0816 5.8432
angles (deg): 90.00 90.00 90.00
Closest atoms and distances in Å follow each position.
Fractional coordinates of all 5 atoms:
Ba 0.0000 0.5000 0.0000  2 Ir 3.04
Ba 0.5000 0.0000 0.0000  2 Ir 3.04
Sr 0.0000 0.0000 0.5000  2 Ir 2.92
Zn 0.5000 0.5000 0.5000  8 Ba 4.22, 4 Sr 4.30
Ir 0.0000 0.0000 0.0000  2 Sr 2.92, 4 Ba 3.04

Values from the calculation:
Polymorph energy (0 for the lowest one) (meV per atom): 0.0
Energy of formation from the pure elements (eV/atom): -0.017
E (eV/atom): -3.150



The following is a DFT calculation (GGA-PBE) of a relaxed structure of CeSiH.

a b c (Å): 6.0851 6.0851 3.9938
angles (deg): 90.00 90.00 139.78
Closest atoms and distances in Å follow each position.
Fractional coordinates of all 6 atoms:
Ce 0.1475 0.8525 0.7500  4 H 2.35-2.37
Ce 0.8525 0.1475 0.2500  4 H 2.35-2.37
Si 0.4409 0.5591 0.7500  2 Si 2.41
Si 0.5591 0.4409 0.2500  2 Si 2.41
H 0.2551 0.7449 0.2500  4 Ce 2.35-2.37
H 0.7449 0.2551 0.7500  4 Ce 2.35-2.37

Values from the calculation:
Polymorph energy (0 for the lowest one) (meV per atom): 0.0
E (eV/atom): -5.587



The following is a DFT calculation (GGA-PBE) of a relaxed structure of Ca2TlCd3O6.

a b c (Å): 5.9715 5.9715 5.9286
angles (deg): 100.21 100.21 119.50
Closest atoms and distances in Å follow each position.
Fractional coordinates of all 12 atoms:
Ca 0.1672 0.8328 0.0000  6 O 2.40-2.42
Ca 0.8328 0.1672 0.0000  6 O 2.40-2.42
Tl 0.5000 0.5000 0.0000  6 O 2.49-2.55
Cd 0.0000 0.0000 0.5000  6 O 2.36-2.43
Cd 0.3359 0.6641 0.5000  6 O 2.36-2.50
Cd 0.6641 0.3359 0.5000  6 O 2.36-2.50
O 0.0672 0.4121 0.7482  3 Cd 2.36-2.50, 2 Ca 2.40-2.41, 1 Tl 2.49
O 0.2408 0.2408 0.2592  3 Cd 2.36-2.40, 2 Ca 2.42, 1 Tl 2.55
O 0.4121 0.0672 0.7482  3 Cd 2.36-2.50, 2 Ca 2.40-2.41, 1 Tl 2.49
O 0.5879 0.9328 0.2518  3 Cd 2.36-2.50, 2 Ca 2.40-2.41, 1 Tl 2.49
O 0.7592 0.7592 0.7408  3 Cd 2.36-2.40, 2 Ca 2.42, 1 Tl 2.55
O 0.9328 0.5879 0.2518  3 Cd 2.36-2.50, 2 Ca 2.40-2.41, 1 Tl 2.49

Values from the calculation:
Formation energy without anion corrections (eV/atom): -1.570
E (eV/atom): -4.809



The following is a DFT calculation (GGA-PBE) of a relaxed structure of Rb2PmSnSe4.

a b c (Å): 8.9774 8.9774 8.9774
angles (deg): 120.50 119.49 90.01
Closest atoms and distances in Å follow each position.
Fractional coordinates of all 16 atoms:
Rb 0.0000 0.0000 0.0000  6 Se 3.41-3.42
Rb 0.5000 0.0000 0.0000  6 Se 3.38-3.39
Rb 0.5000 0.0000 0.5000  6 Se 3.41-3.42
Rb 0.5000 0.5000 0.5000  6 Se 3.38-3.39
Pm 0.0000 0.0000 0.5000  6 Se 2.99-3.00
Pm 0.0000 0.5000 0.0000  6 Se 2.99-3.00
Sn 0.0000 0.5000 0.5000  6 Se 2.96
Sn 0.5000 0.5000 0.0000  6 Se 2.96
Se 0.2011 0.7323 0.4688  1 Sn 2.96, 2 Pm 2.99
Se 0.2347 0.2716 0.5369  2 Sn 2.96, 1 Pm 3.00
Se 0.2347 0.6978 0.9631  2 Sn 2.96, 1 Pm 3.00
Se 0.2365 0.2677 0.9688  1 Sn 2.96, 2 Pm 2.99
Se 0.7635 0.7323 0.0312  1 Sn 2.96, 2 Pm 2.99
Se 0.7653 0.3022 0.0369  2 Sn 2.96, 1 Pm 3.00
Se 0.7653 0.7284 0.4631  2 Sn 2.96, 1 Pm 3.00
Se 0.7989 0.2677 0.5312  1 Sn 2.96, 2 Pm 2.99

Values from the calculation:
Formation energy without anion corrections (eV/atom): -1.168
E (eV/atom): -4.246